DFT (GGA-PBE) results for an optimized crystal structure of La8Os3CBr3.

abc: 9.193 9.193 9.193
angles: 53.65 53.65 53.65
Fractional positions:
La (0.235, 0.235, 0.235)
La (0.241, 0.721, 0.721)
La (0.279, 0.279, 0.759)
La (0.279, 0.759, 0.279)
La (0.721, 0.241, 0.721)
La (0.721, 0.721, 0.241)
La (0.759, 0.279, 0.279)
La (0.765, 0.765, 0.765)
Os (0.000, 0.000, 0.500)
Os (0.000, 0.500, 0.000)
Os (0.500, 0.000, 0.000)
C (0.500, 0.500, 0.500)
Br (0.000, 0.500, 0.500)
Br (0.500, 0.000, 0.500)
Br (0.500, 0.500, 0.000)

## Properties
**Total magnetic moment**: 0.68 μB/f.u.
**Raw formation energy**: -9.821 eV per formula unit

DFT (GGA-PBE) results for an optimized crystal structure of La2OsCBr.

abc: 5.411 5.411 3.892
angles: 90.00 90.00 90.00
Fractional positions:
La (0.000, 0.500, 0.000)
La (0.500, 0.000, 0.000)
Os (0.000, 0.000, 0.500)
C (0.000, 0.000, 0.000)
Br (0.500, 0.500, 0.500)

## Properties
**Total magnetic moment**: 0.00 μB/f.u.
**Raw formation energy**: -2.786 eV per formula unit

DFT (GGA-PBE) results for an optimized crystal structure of La6PC2Br3.

abc: 6.941 6.941 7.977
angles: 98.35 98.35 120.00
Fractional positions:
La (0.081, 0.437, 0.811)
La (0.207, 0.207, 0.189)
La (0.437, 0.081, 0.811)
La (0.563, 0.919, 0.189)
La (0.793, 0.793, 0.811)
La (0.919, 0.563, 0.189)
P (0.500, 0.500, 0.000)
C (0.167, 0.833, 0.000)
C (0.833, 0.167, 0.000)
Br (0.000, 0.000, 0.500)
Br (0.338, 0.662, 0.500)
Br (0.662, 0.338, 0.500)

## Properties
**Total magnetic moment**: 0.00 μB/f.u.
**Raw formation energy**: -13.599 eV per formula unit